No. 1
First-principles (PBE-GGA) data for a geometry-optimized NbCrIn3 structure, as listed in Alexandria.

Results
Symmetry: Pm-3m (221)
Polymorph energy (0 for the lowest one) (eV per atom): 0.000
Energy of formation (kJ/mol of atoms): 100
V (Å³/f.u.): 122.6
Total energy (eV per atom): -4.54

Cell: 4.968 4.968 4.968 Å, 90.00 90.00 90.00°
Element x y z (fractional)
1 Nb 0.000 0.000 0.000
2 Cr 0.500 0.500 0.500
3 In 0.000 0.500 0.500
4 In 0.500 0.000 0.500
5 In 0.500 0.500 0.000

---

No. 2
First-principles (PBE-GGA) data for a geometry-optimized ReSiTc structure, as listed in Alexandria.

Results
E_form (uncorrected) (meV per atom): -230.0
Symmetry: Cm (8)
Polymorph energy (0 for the lowest one) (eV per atom): 0.086
V (Å³/f.u.): 41.6
Total energy (eV per atom): -9.64

Cell: 4.638 4.638 5.972 Å, 125.30 125.30 60.68°
Element x y z (fractional)
1 Re 0.000 0.000 0.000
2 Re 0.521 0.521 0.722
3 Si 0.111 0.611 0.223
4 Si 0.611 0.111 0.223
5 Tc 0.199 0.199 0.721
6 Tc 0.716 0.716 0.433

---

No. 3
First-principles (PBE-GGA) data for a geometry-optimized ZrTlRu2 structure, as listed in Alexandria.

Results
Symmetry: I-4m2 (119)
Polymorph energy (0 for the lowest one) (eV per atom): 0.137
Energy of formation (kJ/mol of atoms): 4
V (Å³/f.u.): 70.4
Total energy (eV per atom): -7.33

Cell: 5.325 5.325 5.325 Å, 136.59 136.59 63.07°
Element x y z (fractional)
1 Zr 0.000 0.000 0.000
2 Tl 0.750 0.250 0.500
3 Ru 0.250 0.750 0.500
4 Ru 0.500 0.500 0.000

---

No. 4
First-principles (PBE-GGA) data for a geometry-optimized Na2As2Pd structure, as listed in Alexandria.

Results
Symmetry: Cmcm (63)
Polymorph energy (0 for the lowest one) (eV per atom): 0.017
Energy of formation (kJ/mol of atoms): -43
V (Å³/f.u.): 116.8
Total energy (eV per atom): -3.87

Cell: 7.400 7.400 5.769 Å, 90.00 90.00 132.30°
Element x y z (fractional)
1 Na 0.071 0.929 0.750
2 Na 0.302 0.698 0.250
3 Na 0.698 0.302 0.750
4 Na 0.929 0.071 0.250
5 As 0.170 0.418 0.750
6 As 0.418 0.170 0.250
7 As 0.582 0.830 0.750
8 As 0.830 0.582 0.250
9 Pd 0.500 0.500 0.000
10 Pd 0.500 0.500 0.500

---

No. 5
First-principles (PBE-GGA) data for a geometry-optimized La2NdTm5 structure, as listed in Alexandria.

Results
Symmetry: Cmcm (63)
Polymorph energy (0 for the lowest one) (eV per atom): 0.113
Energy of formation (kJ/mol of atoms): 14
V (Å³/f.u.): 266.0
Total energy (eV per atom): -4.48

Cell: 6.307 6.307 16.687 Å, 90.00 90.00 126.74°
Element x y z (fractional)
1 La 0.222 0.778 0.634
2 La 0.222 0.778 0.866
3 La 0.778 0.222 0.134
4 La 0.778 0.222 0.366
5 Nd 0.199 0.801 0.250
6 Nd 0.801 0.199 0.750
7 Tm 0.091 0.909 0.070
8 Tm 0.091 0.909 0.430
9 Tm 0.393 0.607 0.059
10 Tm 0.393 0.607 0.441
11 Tm 0.493 0.507 0.750
12 Tm 0.507 0.493 0.250
13 Tm 0.607 0.393 0.559
14 Tm 0.607 0.393 0.941
15 Tm 0.909 0.091 0.570
16 Tm 0.909 0.091 0.930

---

No. 6
First-principles (PBE-GGA) data for a geometry-optimized PrGd2Rh structure, as listed in Alexandria.

Results
Symmetry: R-3m (166)
Polymorph energy (0 for the lowest one) (eV per atom): 0.046
Energy of formation (kJ/mol of atoms): -32
V (Å³/f.u.): 121.6
Total energy (eV per atom): -10.41

Cell: 9.759 9.759 9.759 Å, 22.72 22.72 22.72°
Element x y z (fractional)
1 Pr 0.000 0.000 0.000
2 Gd 0.225 0.225 0.225
3 Gd 0.775 0.775 0.775
4 Rh 0.500 0.500 0.500

---

No. 7
First-principles (PBE-GGA) data for a geometry-optimized As2RhSe structure, as listed in Alexandria.

Results
E_form (uncorrected) (meV per atom): 312.6
Symmetry: P4/mmm (123)
V (Å³/f.u.): 69.7
Total energy (eV per atom): -4.72

Cell: 4.664 4.664 3.203 Å, 90.00 90.00 90.00°
Element x y z (fractional)
1 As 0.000 0.500 0.000
2 As 0.500 0.000 0.000
3 Rh 0.000 0.000 0.500
4 Se 0.500 0.500 0.500

---

No. 8
First-principles (PBE-GGA) data for a geometry-optimized YTl3Br structure, as listed in Alexandria.

Results
E_form (uncorrected) (meV per atom): 275.1
Symmetry: Pm-3m (221)
Polymorph energy (0 for the lowest one) (eV per atom): 0.016
V (Å³/f.u.): 231.0
Total energy (eV per atom): -2.77

Cell: 6.136 6.136 6.136 Å, 90.00 90.00 90.00°
Element x y z (fractional)
1 Y 0.000 0.000 0.000
2 Tl 0.000 0.000 0.500
3 Tl 0.000 0.500 0.000
4 Tl 0.500 0.000 0.000
5 Br 0.500 0.500 0.500